1.
CaCr2InRu: relaxed, PBE.

abc: 4.677 4.677 5.337
angles: 90.00 90.00 90.00
Fractional coordinates of all 5 atoms:
Ca (0.000, 0.000, 0.000)
Cr (0.000, 0.500, 0.000)
Cr (0.500, 0.000, 0.000)
In (0.000, 0.000, 0.500)
Ru (0.500, 0.500, 0.500)

Results
- calculated formation energy (eV per atom) = 2.24
- magnetic moment (μB per formula unit) = 9.6
- space-group type = P4/mmm (123)
- calculated volume (Å³/atom) = 23.346


2.
CaTi2CrIn: relaxed, PBE.

abc: 4.547 4.547 5.478
angles: 90.00 90.00 90.00
Fractional coordinates of all 5 atoms:
Ca (0.000, 0.000, 0.000)
Ti (0.000, 0.500, 0.500)
Ti (0.500, 0.000, 0.500)
Cr (0.000, 0.000, 0.500)
In (0.500, 0.500, 0.000)

Results
- calculated formation energy (eV per atom) = 0.59
- magnetic moment (μB per formula unit) = 0.0
- space-group type = P4/mmm (123)
- calculated volume (Å³/atom) = 22.653


3.
CaZrCrIn2: relaxed, PBE.

abc: 5.222 5.222 4.624
angles: 90.00 90.00 90.00
Fractional coordinates of all 5 atoms:
Ca (0.000, 0.000, 0.000)
Zr (0.500, 0.500, 0.000)
Cr (0.500, 0.500, 0.500)
In (0.000, 0.500, 0.500)
In (0.500, 0.000, 0.500)

Results
- calculated formation energy (eV per atom) = 0.15
- magnetic moment (μB per formula unit) = 0.0
- space-group type = P4/mmm (123)
- calculated volume (Å³/atom) = 25.216


4.
CaCr3Ir: relaxed, PBE.

abc: 4.835 4.835 4.835
angles: 90.00 90.00 90.00
Fractional coordinates of all 5 atoms:
Ca (0.000, 0.000, 0.000)
Cr (0.000, 0.500, 0.500)
Cr (0.500, 0.000, 0.500)
Cr (0.500, 0.500, 0.000)
Ir (0.500, 0.500, 0.500)

Results
- calculated formation energy (eV per atom) = 0.82
- magnetic moment (μB per formula unit) = 10.5
- space-group type = Pm-3m (221)
- calculated volume (Å³/atom) = 22.603


5.
CaCr2Ir: relaxed, PBE.

abc: 3.024 3.042 7.442
angles: 90.00 90.00 90.00
Fractional coordinates of all 4 atoms:
Ca (0.000, 0.000, 0.000)
Cr (0.000, 0.000, 0.484)
Cr (0.500, 0.500, 0.659)
Ir (0.500, 0.500, 0.287)

Results
- calculated formation energy (eV per atom) = 0.23
- magnetic moment (μB per formula unit) = 2.3
- space-group type = Pmm2 (25)
- calculated volume (Å³/atom) = 17.117


6.
CaCr2Ir: relaxed, PBE.

abc: 3.373 3.373 6.526
angles: 90.00 90.00 90.00
Fractional coordinates of all 4 atoms:
Ca (0.000, 0.000, 0.000)
Cr (0.500, 0.500, 0.348)
Cr (0.500, 0.500, 0.652)
Ir (0.000, 0.000, 0.500)

Results
- calculated formation energy (eV per atom) = 0.48
- magnetic moment (μB per formula unit) = 0.3
- space-group type = P4/mmm (123)
- calculated volume (Å³/atom) = 18.567


7.
CaCr3Ir: relaxed, PBE.

abc: 4.196 4.196 4.196
angles: 90.00 90.00 90.00
Fractional coordinates of all 5 atoms:
Ca (0.000, 0.000, 0.000)
Cr (0.000, 0.000, 0.500)
Cr (0.000, 0.500, 0.000)
Cr (0.500, 0.000, 0.000)
Ir (0.500, 0.500, 0.500)

Results
- calculated formation energy (eV per atom) = 2.47
- magnetic moment (μB per formula unit) = 1.7
- space-group type = Pm-3m (221)
- calculated volume (Å³/atom) = 14.772


8.
CaCrIr: relaxed, PBE.

abc: 2.981 3.683 10.656
angles: 90.00 90.00 90.00
Fractional coordinates of all 6 atoms:
Ca (0.000, 0.000, 0.000)
Ca (0.500, 0.500, 0.500)
Cr (0.000, 0.000, 0.283)
Cr (0.500, 0.500, 0.783)
Ir (0.000, 0.000, 0.702)
Ir (0.500, 0.500, 0.202)

Results
- calculated formation energy (eV per atom) = 0.10
- magnetic moment (μB per formula unit) = 2.7
- space-group type = Imm2 (44)
- calculated volume (Å³/atom) = 19.502


9.
CaCr2Ir: relaxed, PBE.

abc: 7.680 7.680 5.845
angles: 90.00 90.00 90.00
Fractional coordinates of all 16 atoms:
Ca (0.000, 0.000, 0.000)
Ca (0.000, 0.500, 0.250)
Ca (0.500, 0.000, 0.750)
Ca (0.500, 0.500, 0.500)
Cr (0.169, 0.750, 0.625)
Cr (0.250, 0.169, 0.375)
Cr (0.250, 0.331, 0.875)
Cr (0.331, 0.750, 0.125)
Cr (0.669, 0.250, 0.125)
Cr (0.750, 0.669, 0.875)
Cr (0.750, 0.831, 0.375)
Cr (0.831, 0.250, 0.625)
Ir (0.000, 0.000, 0.500)
Ir (0.000, 0.500, 0.750)
Ir (0.500, 0.000, 0.250)
Ir (0.500, 0.500, 0.000)

Results
- calculated formation energy (eV per atom) = 0.63
- magnetic moment (μB per formula unit) = 6.9
- space-group type = I-42d (122)
- calculated volume (Å³/atom) = 21.549


10.
CaCr2Ir: relaxed, PBE.

abc: 5.279 8.903 2.699
angles: 90.00 107.51 90.00
Fractional coordinates of all 8 atoms:
Ca (0.000, 0.000, 0.000)
Ca (0.500, 0.500, 0.000)
Cr (0.250, 0.250, 0.500)
Cr (0.250, 0.750, 0.500)
Cr (0.750, 0.250, 0.500)
Cr (0.750, 0.750, 0.500)
Ir (0.000, 0.500, 0.000)
Ir (0.500, 0.000, 0.000)

Results
- calculated formation energy (eV per atom) = 0.65
- magnetic moment (μB per formula unit) = 0.0
- space-group type = C2/m (12)
- calculated volume (Å³/atom) = 15.118


11.
CaCrIr3: relaxed, PBE.

abc: 4.566 4.566 4.566
angles: 90.00 90.00 90.00
Fractional coordinates of all 5 atoms:
Ca (0.000, 0.000, 0.000)
Cr (0.500, 0.500, 0.500)
Ir (0.000, 0.500, 0.500)
Ir (0.500, 0.000, 0.500)
Ir (0.500, 0.500, 0.000)

Results
- calculated formation energy (eV per atom) = 0.52
- magnetic moment (μB per formula unit) = 0.0
- space-group type = Pm-3m (221)
- calculated volume (Å³/atom) = 19.042


12.
CaCr2Ir: relaxed, PBE.

abc: 3.229 4.470 4.696
angles: 90.00 90.00 90.00
Fractional coordinates of all 4 atoms:
Ca (0.000, 0.000, 0.000)
Cr (0.000, 0.500, 0.500)
Cr (0.500, 0.000, 0.500)
Ir (0.500, 0.500, 0.000)

Results
- calculated formation energy (eV per atom) = 0.37
- magnetic moment (μB per formula unit) = 0.6
- space-group type = Pmmm (47)
- calculated volume (Å³/atom) = 16.946


13.
Ca2CrIr: relaxed, PBE.

abc: 3.202 3.580 8.444
angles: 90.00 90.05 90.00
Fractional coordinates of all 4 atoms:
Ca (0.000, 0.000, 0.000)
Ca (0.497, 0.500, 0.390)
Cr (0.499, 0.500, 0.740)
Ir (0.999, 0.000, 0.637)

Results
- calculated formation energy (eV per atom) = 0.12
- magnetic moment (μB per formula unit) = 2.9
- space-group type = Pm (6)
- calculated volume (Å³/atom) = 24.196


14.
Ca2CrIr: relaxed, PBE.

abc: 6.554 6.569 4.066
angles: 90.00 90.00 90.00
Fractional coordinates of all 8 atoms:
Ca (0.250, 0.250, 0.000)
Ca (0.250, 0.750, 0.000)
Ca (0.750, 0.250, 0.000)
Ca (0.750, 0.750, 0.000)
Cr (0.000, 0.000, 0.500)
Cr (0.500, 0.500, 0.500)
Ir (0.000, 0.500, 0.500)
Ir (0.500, 0.000, 0.500)

Results
- calculated formation energy (eV per atom) = 0.25
- magnetic moment (μB per formula unit) = 4.7
- space-group type = Cmmm (65)
- calculated volume (Å³/atom) = 21.878


15.
Ca2CrIr: relaxed, PBE.

abc: 3.399 3.399 8.114
angles: 90.00 90.00 90.00
Fractional coordinates of all 4 atoms:
Ca (0.000, 0.000, 0.210)
Ca (0.000, 0.000, 0.790)
Cr (0.500, 0.500, 0.500)
Ir (0.500, 0.500, 0.000)

Results
- calculated formation energy (eV per atom) = 0.24
- magnetic moment (μB per formula unit) = 4.7
- space-group type = P4/mmm (123)
- calculated volume (Å³/atom) = 23.430


16.
CaCr2Ir: relaxed, PBE.

abc: 9.690 2.958 5.098
angles: 90.00 102.59 90.00
Fractional coordinates of all 8 atoms:
Ca (0.000, 0.000, 0.000)
Ca (0.500, 0.500, 0.000)
Cr (0.220, 0.000, 0.629)
Cr (0.280, 0.500, 0.371)
Cr (0.720, 0.500, 0.629)
Cr (0.780, 0.000, 0.371)
Ir (0.000, 0.500, 0.500)
Ir (0.500, 0.000, 0.500)

Results
- calculated formation energy (eV per atom) = 0.28
- magnetic moment (μB per formula unit) = 0.0
- space-group type = C2/m (12)
- calculated volume (Å³/atom) = 17.829


17.
Ca2CrIr: relaxed, PBE.

abc: 3.860 4.977 9.782
angles: 90.00 90.00 90.00
Fractional coordinates of all 8 atoms:
Ca (0.000, 0.000, 0.000)
Ca (0.000, 0.500, 0.212)
Ca (0.500, 0.000, 0.712)
Ca (0.500, 0.500, 0.500)
Cr (0.000, 0.500, 0.794)
Cr (0.500, 0.000, 0.294)
Ir (0.000, 0.000, 0.444)
Ir (0.500, 0.500, 0.944)

Results
- calculated formation energy (eV per atom) = 0.15
- magnetic moment (μB per formula unit) = 3.7
- space-group type = Imm2 (44)
- calculated volume (Å³/atom) = 23.488


18.
CaCr2Ir: relaxed, PBE.

abc: 5.166 8.900 2.665
angles: 90.00 90.00 90.00
Fractional coordinates of all 8 atoms:
Ca (0.000, 0.000, 0.000)
Ca (0.500, 0.500, 0.000)
Cr (0.250, 0.250, 0.500)
Cr (0.250, 0.750, 0.500)
Cr (0.750, 0.250, 0.500)
Cr (0.750, 0.750, 0.500)
Ir (0.000, 0.500, 0.000)
Ir (0.500, 0.000, 0.000)

Results
- calculated formation energy (eV per atom) = 0.73
- magnetic moment (μB per formula unit) = 0.0
- space-group type = Cmmm (65)
- calculated volume (Å³/atom) = 15.316


19.
CaCr2Ir: relaxed, PBE.

abc: 2.841 4.175 5.959
angles: 90.00 90.00 90.00
Fractional coordinates of all 4 atoms:
Ca (0.000, 0.000, 0.000)
Cr (0.500, 0.500, 0.343)
Cr (0.500, 0.500, 0.657)
Ir (0.000, 0.000, 0.500)

Results
- calculated formation energy (eV per atom) = 0.40
- magnetic moment (μB per formula unit) = 0.0
- space-group type = Pmmm (47)
- calculated volume (Å³/atom) = 17.670


20.
CaCrIr3: relaxed, PBE.

abc: 4.760 4.760 4.760
angles: 90.00 90.00 90.00
Fractional coordinates of all 5 atoms:
Ca (0.000, 0.000, 0.000)
Cr (0.500, 0.500, 0.500)
Ir (0.000, 0.000, 0.500)
Ir (0.000, 0.500, 0.000)
Ir (0.500, 0.000, 0.000)

Results
- calculated formation energy (eV per atom) = 2.32
- magnetic moment (μB per formula unit) = 1.9
- space-group type = Pm-3m (221)
- calculated volume (Å³/atom) = 21.576


21.
CaCrIr: relaxed, PBE.

abc: 6.464 6.464 6.464
angles: 90.00 90.00 90.00
Fractional coordinates of all 12 atoms:
Ca (0.000, 0.000, 0.000)
Ca (0.000, 0.500, 0.500)
Ca (0.500, 0.000, 0.500)
Ca (0.500, 0.500, 0.000)
Cr (0.250, 0.250, 0.250)
Cr (0.250, 0.750, 0.750)
Cr (0.750, 0.250, 0.750)
Cr (0.750, 0.750, 0.250)
Ir (0.250, 0.250, 0.750)
Ir (0.250, 0.750, 0.250)
Ir (0.750, 0.250, 0.250)
Ir (0.750, 0.750, 0.750)

Results
- calculated formation energy (eV per atom) = 1.10
- magnetic moment (μB per formula unit) = 4.7
- space-group type = F-43m (216)
- calculated volume (Å³/atom) = 22.504


22.
CaCr2Ir: relaxed, PBE.

abc: 9.294 2.976 5.424
angles: 90.00 106.06 90.00
Fractional coordinates of all 8 atoms:
Ca (0.000, 0.000, 0.000)
Ca (0.500, 0.500, 0.000)
Cr (0.205, 0.000, 0.650)
Cr (0.496, 0.000, 0.491)
Cr (0.705, 0.500, 0.650)
Cr (0.996, 0.500, 0.491)
Ir (0.268, 0.500, 0.322)
Ir (0.768, 0.000, 0.322)

Results
- calculated formation energy (eV per atom) = 0.34
- magnetic moment (μB per formula unit) = 0.2
- space-group type = Cm (8)
- calculated volume (Å³/atom) = 18.021


23.
CaCr2Ir: relaxed, PBE.

abc: 4.157 4.157 4.109
angles: 90.00 90.00 90.00
Fractional coordinates of all 4 atoms:
Ca (0.000, 0.000, 0.000)
Cr (0.000, 0.500, 0.500)
Cr (0.500, 0.000, 0.500)
Ir (0.500, 0.500, 0.000)

Results
- calculated formation energy (eV per atom) = 0.55
- magnetic moment (μB per formula unit) = 7.9
- space-group type = P4/mmm (123)
- calculated volume (Å³/atom) = 17.754


24.
Ca2CrIr: relaxed, PBE.

abc: 4.509 4.509 8.410
angles: 90.00 90.00 90.00
Fractional coordinates of all 8 atoms:
Ca (0.000, 0.000, 0.000)
Ca (0.000, 0.500, 0.250)
Ca (0.500, 0.000, 0.750)
Ca (0.500, 0.500, 0.500)
Cr (0.000, 0.500, 0.750)
Cr (0.500, 0.000, 0.250)
Ir (0.000, 0.000, 0.500)
Ir (0.500, 0.500, 0.000)

Results
- calculated formation energy (eV per atom) = 0.27
- magnetic moment (μB per formula unit) = 4.6
- space-group type = I-4m2 (119)
- calculated volume (Å³/atom) = 21.375


25.
CaCr2Ir: relaxed, PBE.

abc: 2.790 4.361 5.798
angles: 90.00 99.50 90.00
Fractional coordinates of all 4 atoms:
Ca (0.000, 0.000, 0.000)
Cr (0.134, 0.500, 0.658)
Cr (0.866, 0.500, 0.342)
Ir (0.500, 0.000, 0.500)

Results
- calculated formation energy (eV per atom) = 0.37
- magnetic moment (μB per formula unit) = 0.0
- space-group type = P2/m (10)
- calculated volume (Å³/atom) = 17.393


26.
CaCrIr: relaxed, PBE.

abc: 6.065 6.065 6.065
angles: 90.00 90.00 90.00
Fractional coordinates of all 12 atoms:
Ca (0.000, 0.000, 0.000)
Ca (0.000, 0.500, 0.500)
Ca (0.500, 0.000, 0.500)
Ca (0.500, 0.500, 0.000)
Cr (0.250, 0.250, 0.250)
Cr (0.250, 0.750, 0.750)
Cr (0.750, 0.250, 0.750)
Cr (0.750, 0.750, 0.250)
Ir (0.000, 0.000, 0.500)
Ir (0.000, 0.500, 0.000)
Ir (0.500, 0.000, 0.000)
Ir (0.500, 0.500, 0.500)

Results
- calculated formation energy (eV per atom) = 0.61
- magnetic moment (μB per formula unit) = 0.0
- space-group type = F-43m (216)
- calculated volume (Å³/atom) = 18.592


27.
CaCr2Ir: relaxed, PBE.

abc: 3.090 3.090 7.891
angles: 90.00 90.00 90.00
Fractional coordinates of all 4 atoms:
Ca (0.000, 0.000, 0.000)
Cr (0.500, 0.500, 0.311)
Cr (0.500, 0.500, 0.689)
Ir (0.000, 0.000, 0.500)

Results
- calculated formation energy (eV per atom) = 0.44
- magnetic moment (μB per formula unit) = 7.1
- space-group type = P4/mmm (123)
- calculated volume (Å³/atom) = 18.834


28.
CaCr2Ir: relaxed, PBE.

abc: 2.769 2.769 28.108
angles: 90.00 90.00 120.00
Fractional coordinates of all 12 atoms:
Ca (0.000, 0.000, 0.000)
Ca (0.333, 0.667, 0.667)
Ca (0.667, 0.333, 0.333)
Cr (0.000, 0.000, 0.240)
Cr (0.000, 0.000, 0.760)
Cr (0.333, 0.667, 0.427)
Cr (0.333, 0.667, 0.907)
Cr (0.667, 0.333, 0.093)
Cr (0.667, 0.333, 0.573)
Ir (0.000, 0.000, 0.500)
Ir (0.333, 0.667, 0.167)
Ir (0.667, 0.333, 0.833)

Results
- calculated formation energy (eV per atom) = 0.74
- magnetic moment (μB per formula unit) = 0.0
- space-group type = R-3m (166)
- calculated volume (Å³/atom) = 15.559


29.
CaCr2Ir: relaxed, PBE.

abc: 3.758 3.758 8.897
angles: 90.00 90.00 90.00
Fractional coordinates of all 8 atoms:
Ca (0.000, 0.000, 0.000)
Ca (0.500, 0.500, 0.500)
Cr (0.000, 0.500, 0.250)
Cr (0.000, 0.500, 0.750)
Cr (0.500, 0.000, 0.250)
Cr (0.500, 0.000, 0.750)
Ir (0.000, 0.000, 0.500)
Ir (0.500, 0.500, 0.000)

Results
- calculated formation energy (eV per atom) = 0.75
- magnetic moment (μB per formula unit) = 0.0
- space-group type = I4/mmm (139)
- calculated volume (Å³/atom) = 15.701


30.
Ca2CrIr: relaxed, PBE.

abc: 4.028 4.028 23.763
angles: 90.00 90.00 120.00
Fractional coordinates of all 12 atoms:
Ca (0.000, 0.000, 0.000)
Ca (0.000, 0.000, 0.179)
Ca (0.333, 0.667, 0.667)
Ca (0.333, 0.667, 0.845)
Ca (0.667, 0.333, 0.333)
Ca (0.667, 0.333, 0.512)
Cr (0.000, 0.000, 0.751)
Cr (0.333, 0.667, 0.418)
Cr (0.667, 0.333, 0.085)
Ir (0.000, 0.000, 0.428)
Ir (0.333, 0.667, 0.095)
Ir (0.667, 0.333, 0.762)

Results
- calculated formation energy (eV per atom) = -0.02
- magnetic moment (μB per formula unit) = 0.3
- space-group type = R3m (160)
- calculated volume (Å³/atom) = 27.824